(1)
The following is a DFT calculation (GGA-PBE) of an optimized crystal structure of Pm3Pr2Si3.

It has space group Immm (No. 71), with a = 4.036 Å, b = 5.017 Å, c = 21.020 Å, α = 90.00°, β = 90.00° and γ = 90.00°. Symmetry generates all atoms from Pm at (0.000, 0.000, 0.000), Pm at (0.000, 0.500, 0.108), Pr at (0.000, 0.000, 0.225), Si at (0.000, 0.000, 0.500) and Si at (0.000, 0.500, 0.380).

As for the calculated volume: 26.60 A^3/atom. For the energy relative to the elements, uncorrected, the calculation gives -0.352 eV per atom.


(2)
The following is a DFT calculation (GGA-PBE) of an optimized crystal structure of PmPrSi4.

It has space group Immm (No. 71), with a = 4.015 Å, b = 7.407 Å, c = 8.379 Å, α = 90.00°, β = 90.00° and γ = 90.00°. Symmetry generates all atoms from Pm at (0.000, 0.000, 0.000), Pr at (0.000, 0.000, 0.500) and Si at (0.000, 0.337, 0.252).

As for the calculated volume: 20.76 A^3/atom. For the energy relative to the elements, uncorrected, the calculation gives -0.572 eV per atom.


Which of these has the lowest calculated volume?
PmPrSi4


Look up the calculated volume of the first one.
26.60 A^3/atom